Pm5Ho3Tm3: optimized geometry, PBE.

Computed properties:
- M_tot (μB/f.u.) = 0.00
- energy relative to the elements (eV/atom) = 0.3245
- space-group type = P-62m

Structure (POSCAR):
```
Pm5Ho3Tm3
1.0
11.192 0.000 0.000
-5.596 9.693 0.000
0.000 0.000 3.436
Pm Ho Tm
5 3 3
Cartesian
-3.702 6.412 0.000
0.000 6.462 0.000
1.894 3.281 0.000
7.404 0.000 0.000
5.596 3.231 0.000
-2.263 3.920 1.718
4.527 0.000 1.718
3.333 5.773 1.718
-0.891 1.543 0.000
1.782 0.000 0.000
4.705 8.150 0.000
```